The following is a DFT calculation (PBE-GGA) of a relaxed Hg3BI crystal.

The calculation puts the density at 10.32 g cm⁻³. As for the total magnetization: 0.000 μB/cell. As for the energy above the lowest structure with this stoichiometry: 0.0 meV/atom.

Cell: 4.9189 4.9189 4.9189 Å, 90.00 90.00 90.00°
Last column: nearest neighbours and their distance in Å.
Atoms (fractional coordinates):
Hg (0.0000, 0.5000, 0.0000)  2 B 2.46
Hg (0.5000, 0.0000, 0.0000)  2 B 2.46
Hg (0.0000, 0.0000, 0.5000)  2 B 2.46
B (0.0000, 0.0000, 0.0000)  6 Hg 2.46
I (0.5000, 0.5000, 0.5000)  12 Hg 3.48